DFT (GGA-PBE) results for a geometry-optimized LaSmTm2 structure.

Output
**Theoretical density**: 7.8 Mg/m³
**Energy above the lowest structure with this stoichiometry**: 1.594 kcal/mol of atoms
**Fermi-level density of states**: 1.709 states/eV/atom
**E_form**: 34 kJ/mol of formula units

Cell: 8.096 8.096 8.096 Å, 90.00 90.00 90.00°
Space group Fm-3m (No. 225)
One atom of each set of equivalent atoms:
La: 0.000 0.000 0.000 (multiplicity 4)
Sm: 0.000 0.000 0.500 (multiplicity 4)
Tm: 0.250 0.250 0.250 (multiplicity 8)